## a
# RbTcAs2 | Alexandria | PBE-GGA | optimized geometry
data_RbTcAs2
_cell_length_a 6.886
_cell_length_b 6.886
_cell_length_c 6.886
_cell_angle_alpha 90.00
_cell_angle_beta 90.00
_cell_angle_gamma 90.00
_symmetry_space_group_name_H-M 'F m -3 m'
_symmetry_Int_Tables_number 225
_symmetry_space_group_name_Hall '-F 4 2 3'
loop_
_atom_site_label
_atom_site_type_symbol
_atom_site_fract_x
_atom_site_fract_y
_atom_site_fract_z
_atom_site_occupancy
Rb1 Rb 0.000 0.000 0.000 1
Tc1 Tc 0.000 0.000 0.500 1
As1 As 0.250 0.250 0.250 1
# - calculated volume (Å³/cell) = 326
# - ρ (g/cm³) = 6.78

## b
# RbTcAs2 | Alexandria | PBE-GGA | optimized geometry
data_RbTcAs2
_cell_length_a 6.402
_cell_length_b 6.402
_cell_length_c 13.370
_cell_angle_alpha 90.00
_cell_angle_beta 90.00
_cell_angle_gamma 90.00
_symmetry_space_group_name_H-M 'I -4 2 d'
_symmetry_Int_Tables_number 122
_symmetry_space_group_name_Hall 'I -4 2bw'
loop_
_atom_site_label
_atom_site_type_symbol
_atom_site_fract_x
_atom_site_fract_y
_atom_site_fract_z
_atom_site_occupancy
Rb1 Rb 0.000 0.000 0.000 1
Tc1 Tc 0.000 0.000 0.500 1
As1 As 0.001 0.250 0.625 1
# - calculated volume (Å³/cell) = 548
# - ρ (g/cm³) = 4.04

Most stable: b (next structure +0.844 eV/atom)

## a
# RbTcAs2 | Alexandria | PBE-GGA | optimized geometry
data_RbTcAs2
_cell_length_a 4.3026
_cell_length_b 4.3026
_cell_length_c 23.1054
_cell_angle_alpha 90.00
_cell_angle_beta 90.00
_cell_angle_gamma 120.00
_symmetry_space_group_name_H-M 'R -3 m'
_symmetry_Int_Tables_number 166
_symmetry_space_group_name_Hall '-R 3 2"'
loop_
_atom_site_label
_atom_site_type_symbol
_atom_site_fract_x
_atom_site_fract_y
_atom_site_fract_z
_atom_site_occupancy
Rb1 Rb 0.0000 0.0000 0.0000 1
Tc1 Tc 0.0000 0.0000 0.5000 1
As1 As 0.0000 0.0000 0.1405 1
# - calculated volume (Å³/cell) = 370
# - ρ (g/cm³) = 4.48

## b
# RbTcAs2 | Alexandria | PBE-GGA | optimized geometry
data_RbTcAs2
_cell_length_a 3.138
_cell_length_b 3.138
_cell_length_c 8.428
_cell_angle_alpha 90.00
_cell_angle_beta 90.00
_cell_angle_gamma 90.00
_symmetry_space_group_name_H-M 'P 4/m m m'
_symmetry_Int_Tables_number 123
_symmetry_space_group_name_Hall '-P 4 2'
loop_
_atom_site_label
_atom_site_type_symbol
_atom_site_fract_x
_atom_site_fract_y
_atom_site_fract_z
_atom_site_occupancy
Rb1 Rb 0.000 0.000 0.000 1
Tc1 Tc 0.000 0.000 0.500 1
As1 As 0.500 0.500 0.322 1
# - calculated volume (Å³/cell) = 83
# - ρ (g/cm³) = 6.67

Most stable: b (next structure +0.364 eV/atom)

## a
# RbTe3As2 | Alexandria | PBE-GGA | optimized geometry
data_RbTe3As2
_cell_length_a 7.347
_cell_length_b 7.554
_cell_length_c 9.041
_cell_angle_alpha 72.27
_cell_angle_beta 80.17
_cell_angle_gamma 66.95
_symmetry_space_group_name_H-M 'P 1'
_symmetry_Int_Tables_number 1
loop_
_symmetry_equiv_pos_as_xyz
'x,y,z'
loop_
_atom_site_label
_atom_site_type_symbol
_atom_site_fract_x
_atom_site_fract_y
_atom_site_fract_z
_atom_site_occupancy
Rb1 Rb 0.000 0.000 0.000 1
Rb2 Rb 0.238 0.498 0.776 1
Te1 Te 0.386 0.469 0.355 1
Te2 Te 0.396 0.919 0.636 1
Te3 Te 0.433 0.074 0.123 1
Te4 Te 0.875 0.399 0.606 1
Te5 Te 0.910 0.518 0.146 1
Te6 Te 0.928 0.944 0.430 1
As1 As 0.132 0.202 0.401 1
As2 As 0.547 0.372 0.100 1
As3 As 0.621 0.138 0.587 1
As4 As 0.665 0.683 0.352 1
# - calculated volume (Å³/cell) = 439
# - ρ (g/cm³) = 4.68

## b
# RbTe3As2 | Alexandria | PBE-GGA | optimized geometry
data_RbTe3As2
_cell_length_a 11.560
_cell_length_b 11.255
_cell_length_c 7.049
_cell_angle_alpha 90.00
_cell_angle_beta 90.00
_cell_angle_gamma 90.00
_symmetry_space_group_name_H-M 'C m c m'
_symmetry_Int_Tables_number 63
_symmetry_space_group_name_Hall '-C 2c 2'
loop_
_atom_site_label
_atom_site_type_symbol
_atom_site_fract_x
_atom_site_fract_y
_atom_site_fract_z
_atom_site_occupancy
Rb1 Rb 0.000 0.173 0.250 1
Te1 Te 0.000 0.414 0.750 1
Te2 Te 0.201 0.139 0.750 1
As1 As 0.179 0.500 0.000 1
# - calculated volume (Å³/cell) = 917
# - ρ (g/cm³) = 4.48

Most stable: a (next structure +0.019 eV/atom)

## a
# Rb4Te4As | Alexandria | PBE-GGA | optimized geometry
data_Rb4Te4As
_cell_length_a 8.544
_cell_length_b 8.544
_cell_length_c 14.553
_cell_angle_alpha 90.00
_cell_angle_beta 90.00
_cell_angle_gamma 90.00
_symmetry_space_group_name_H-M 'I -4 2 m'
_symmetry_Int_Tables_number 121
_symmetry_space_group_name_Hall 'I -4 2'
loop_
_atom_site_label
_atom_site_type_symbol
_atom_site_fract_x
_atom_site_fract_y
_atom_site_fract_z
_atom_site_occupancy
Rb1 Rb 0.000 0.000 0.195 1
Rb2 Rb 0.000 0.500 0.000 1
Te1 Te 0.181 0.181 0.613 1
As1 As 0.000 0.000 0.500 1
# - calculated volume (Å³/cell) = 1062
# - ρ (g/cm³) = 2.90

## b
# Rb4Te4As | Alexandria | PBE-GGA | optimized geometry
data_Rb4Te4As
_cell_length_a 10.961
_cell_length_b 10.961
_cell_length_c 7.286
_cell_angle_alpha 90.00
_cell_angle_beta 90.00
_cell_angle_gamma 90.00
_symmetry_space_group_name_H-M 'I 4/m'
_symmetry_Int_Tables_number 87
_symmetry_space_group_name_Hall '-I 4'
loop_
_atom_site_label
_atom_site_type_symbol
_atom_site_fract_x
_atom_site_fract_y
_atom_site_fract_z
_atom_site_occupancy
Rb1 Rb 0.078 0.300 0.000 1
Te1 Te 0.085 0.242 0.500 1
As1 As 0.000 0.000 0.500 1
# - calculated volume (Å³/cell) = 875
# - ρ (g/cm³) = 3.52

Most stable: a (next structure +0.109 eV/atom)

## a
# RbTeAs | Alexandria | PBE-GGA | optimized geometry
data_RbTeAs
_cell_length_a 4.165
_cell_length_b 6.258
_cell_length_c 9.311
_cell_angle_alpha 74.69
_cell_angle_beta 77.10
_cell_angle_gamma 89.99
_symmetry_space_group_name_H-M 'P 1'
_symmetry_Int_Tables_number 1
loop_
_symmetry_equiv_pos_as_xyz
'x,y,z'
loop_
_atom_site_label
_atom_site_type_symbol
_atom_site_fract_x
_atom_site_fract_y
_atom_site_fract_z
_atom_site_occupancy
Rb1 Rb 0.000 0.000 0.000 1
Rb2 Rb 0.187 0.701 0.624 1
Te1 Te 0.508 0.495 0.001 1
Te2 Te 0.697 0.206 0.623 1
As1 As 0.024 0.226 0.340 1
As2 As 0.552 0.476 0.284 1
# - calculated volume (Å³/cell) = 228
# - ρ (g/cm³) = 4.20

## b
# RbTeAs | Alexandria | PBE-GGA | optimized geometry
data_RbTeAs
_cell_length_a 10.734
_cell_length_b 6.744
_cell_length_c 7.745
_cell_angle_alpha 90.00
_cell_angle_beta 119.92
_cell_angle_gamma 90.00
_symmetry_space_group_name_H-M 'C 1 2/m 1'
_symmetry_Int_Tables_number 12
loop_
_symmetry_equiv_pos_as_xyz
'x,y,z'
'-x,-y,-z'
'-x,y,-z'
'x,-y,z'
'x+1/2,y+1/2,z'
'-x+1/2,-y+1/2,-z'
'-x+1/2,y+1/2,-z'
'x+1/2,-y+1/2,z'
loop_
_atom_site_label
_atom_site_type_symbol
_atom_site_fract_x
_atom_site_fract_y
_atom_site_fract_z
_atom_site_occupancy
Rb1 Rb 0.189 0.000 0.271 1
Te1 Te 0.174 0.000 0.756 1
As1 As 0.072 0.500 0.927 1
# - calculated volume (Å³/cell) = 486
# - ρ (g/cm³) = 3.94

Most stable: a (next structure +0.022 eV/atom)